! LiVBi2O6, optimized geometry, DFT GGA+U; values from VASP
&SYSTEM
  ibrav = 0, nat = 20, ntyp = 4
/
ATOMIC_SPECIES
Li 6.94 Li.upf
V 50.94 V.upf
Bi 208.98 Bi.upf
O 16.00 O.upf
CELL_PARAMETERS angstrom
5.4232 0.0000 0.0455
0.0000 5.8055 0.0000
0.0602 0.0000 7.7092
ATOMIC_POSITIONS angstrom
Li 0.0000 2.9027 0.0000
Li 2.7417 0.0000 3.8774
V 0.0301 2.9027 3.8546
V 2.7116 0.0000 0.0228
Bi 5.3886 5.4326 1.9458
Bi 2.7762 2.5298 1.9771
Bi 2.7071 3.2756 5.7776
Bi 0.0947 0.3729 5.8089
O 4.9163 2.6913 5.7361
O 4.3071 1.0016 0.3726
O 4.5395 1.2727 3.4744
O 3.6253 4.1755 0.4485
O 3.8577 3.9043 3.5503
O 3.3087 5.5941 5.8960
O 2.1746 0.2114 1.8587
O 1.6256 1.9012 4.2044
O 1.8580 1.6300 7.3062
O 1.1762 4.8039 7.3821
O 0.9438 4.5327 4.2803
O 0.5670 3.1141 2.0186
! space-group type = P2_1/c, No. 14
! electronic total energy = -6.268 eV per atom
! magnetization = 0.0 Bohr magnetons per cell